Computed, not measured: a geometry-optimized InCoP2S structure at the PBE level of DFT.

abc: 4.9943 4.9943 5.0100
angles: 90.00 90.00 90.00
Space group P4/mmm (No. 123)
One atom of each set of equivalent atoms:
In 0.0000 0.0000 0.0000 [1 per cell]
Co 0.5000 0.5000 0.5000 [1 per cell]
P 0.0000 0.5000 0.0000 [2 per cell]
S 0.0000 0.0000 0.5000 [1 per cell]

**Crystal system**: tetragonal
**N(E_F)**: 0.99 states/eV per atom
**E_form (uncorrected)**: 1.502 eV/atom